First-principles (PBE) data for an optimized crystal structure of CrWCl, as listed in Alexandria via LeMat-Bulk.

Cell lengths 4.660, 4.660, 4.660 Å; angles 144.61, 128.37, 64.15 degrees
Sites, in units of the cell vectors:
Cr1 0.000 0.000 0.000
W1 0.656 0.656 0.000
Cl1 0.325 0.325 0.000

Summary:
- formation energy (no corrections) (eV per atom) = 1.00


First-principles (PBE) data for an optimized crystal structure of CrWCl, as listed in Alexandria via LeMat-Bulk.

Cell lengths 4.076, 4.076, 4.076 Å; angles 60.00, 60.00, 60.00 degrees
Sites, in units of the cell vectors:
Cr1 0.000 0.000 0.000
W1 0.250 0.250 0.250
Cl1 0.750 0.750 0.750

Summary:
- formation energy (no corrections) (eV per atom) = 1.27


First-principles (PBE) data for an optimized crystal structure of CrWCl, as listed in Alexandria via LeMat-Bulk.

Cell lengths 6.084, 6.084, 6.084 Å; angles 152.19, 152.19, 39.74 degrees
Sites, in units of the cell vectors:
Cr1 0.000 0.000 0.000
W1 0.639 0.639 0.000
Cl1 0.302 0.302 0.000

Summary:
- formation energy (no corrections) (eV per atom) = 0.61


no.,D(E_F) (states/eV/f.u.),energy above the most stable polymorph in this dataset (eV per formula unit)
1,3.0,2.067
2,3.3,2.885
3,2.4,0.892